A relaxed structure of Ce2PuTe4, computed with PBE.

Computed properties:
The raw formation energy comes out at -1.29 eV per atom. The calculation puts the energy above the most stable polymorph in this dataset at 0 meV/atom. The value obtained for the final energy is -6.82 eV/atom.

Unit cell a=8.2131 b=8.2132 c=8.2131 alpha=109.47 beta=109.48 gamma=109.47
With the nearest neighbours (Å) after each atom.
Fractional coordinates of all 14 atoms:
Ce (0.3750, 0.8749, 0.7498)  8 Te 3.21-3.37
Ce (0.4999, 0.3749, 0.6250)  8 Te 3.21-3.37
Ce (0.8750, 0.1251, 0.5001)  8 Te 3.21-3.37
Ce (0.2502, 0.6251, 0.1250)  8 Te 3.21-3.37
Pu (0.7500, 0.5000, 0.2500)  8 Te 3.20-3.35
Pu (0.0000, 0.0000, 0.0000)  8 Te 3.20-3.35
Te (0.7785, 0.2511, 0.8773)  2 Pu 3.20-3.35, 4 Ce 3.21-3.37, 1 Te 3.57
Te (0.9715, 0.5988, 0.7226)  2 Pu 3.20-3.35, 4 Ce 3.21-3.37, 1 Te 3.57
Te (0.6261, 0.7489, 0.5274)  2 Pu 3.20-3.35, 4 Ce 3.21-3.37, 1 Te 3.57
Te (0.1239, 0.4013, 0.3728)  2 Pu 3.20-3.35, 4 Ce 3.21-3.37, 1 Te 3.57
Te (0.4726, 0.0988, 0.2215)  2 Pu 3.20-3.35, 4 Ce 3.21-3.37, 1 Te 3.57
Te (0.6273, 0.7511, 0.0285)  2 Pu 3.20-3.35, 4 Ce 3.21-3.37, 1 Te 3.57
Te (0.2774, 0.2489, 0.8761)  2 Pu 3.20-3.35, 4 Ce 3.21-3.37, 1 Te 3.57
Te (0.1227, 0.9012, 0.3739)  2 Pu 3.20-3.35, 4 Ce 3.21-3.37, 1 Te 3.57


A relaxed structure of K2ScMn, computed with PBE.

Computed properties:
The formation energy comes out at 352 kJ/mol of formula units. The calculation puts the energy above the most stable polymorph in this dataset at 408 meV/atom. The value obtained for the final energy is -3.51 eV/atom.

Unit cell a=13.1111 b=13.1111 c=13.1111 alpha=15.10 beta=15.10 gamma=15.10
With the nearest neighbours (Å) after each atom.
Fractional coordinates of all 4 atoms:
K (0.9954, 0.9954, 0.9954)  6 K 3.45, 3 Mn 3.65
K (0.5046, 0.5046, 0.5046)  6 K 3.45, 3 Mn 3.65
Mn (0.2500, 0.2500, 0.2500)  6 Mn 3.45, 6 K 3.65
Sc (0.7500, 0.7500, 0.7500)  6 Sc 3.45


A relaxed structure of Nd4Rh2Br3, computed with PBE.

Computed properties:
The raw formation energy comes out at -1.19 eV per atom. The value obtained for the final energy is -5.50 eV/atom.

Unit cell a=4.0962 b=4.0962 c=18.8473 alpha=90.02 beta=89.98 gamma=120.00
With the nearest neighbours (Å) after each atom.
Fractional coordinates of all 9 atoms:
Nd (0.3334, 0.6666, 0.8724)  3 Rh 2.81
Nd (0.9997, 0.0003, 0.2991)  3 Rh 2.92, 3 Br 3.07
Nd (0.0003, 0.9997, 0.7009)  3 Rh 2.92, 3 Br 3.07
Nd (0.6666, 0.3334, 0.1276)  3 Rh 2.81
Rh (0.6669, 0.3331, 0.7919)  6 Nd 2.81-2.92
Rh (0.3332, 0.6669, 0.2081)  6 Nd 2.81-2.92
Br (0.6663, 0.3337, 0.4033)  3 Nd 3.07
Br (0.0000, 0.0000, 0.0000)  6 Nd 3.37
Br (0.3337, 0.6663, 0.5967)  3 Nd 3.07


A relaxed structure of CaPuOs4, computed with PBE.

Computed properties:
The formation energy comes out at 2 kJ/mol of formula units. The value obtained for the final energy is -10.21 eV/atom.

Unit cell a=5.3462 b=5.3462 c=5.3462 alpha=60.00 beta=60.00 gamma=60.00
With the nearest neighbours (Å) after each atom.
Fractional coordinates of all 6 atoms:
Ca (0.2500, 0.2500, 0.2500)  12 Os 3.13, 4 Pu 3.27
Os (0.6249, 0.6249, 0.1254)  6 Os 2.67-2.68
Os (0.6249, 0.1254, 0.6249)  6 Os 2.67-2.68
Os (0.6249, 0.6249, 0.6249)  6 Os 2.67-2.68
Os (0.1254, 0.6249, 0.6249)  6 Os 2.67-2.68
Pu (0.0000, 0.0000, 0.0000)  12 Os 3.13, 4 Ca 3.27


A relaxed structure of Y2ZrScSb4, computed with PBE.

Computed properties:
The raw formation energy comes out at -0.96 eV per atom. The value obtained for the final energy is -6.50 eV/atom.

Unit cell a=4.2603 b=7.3754 c=7.3933 alpha=109.34 beta=90.00 gamma=90.00
With the nearest neighbours (Å) after each atom.
Fractional coordinates of all 8 atoms:
Y (0.5000, 0.0000, 0.5000)  6 Sb 3.08
Y (0.0000, 0.5000, 0.5000)  6 Sb 3.07
Zr (0.0000, 0.0000, 0.0000)  6 Sb 2.95-2.96
Sc (0.5000, 0.5000, 0.0000)  6 Sb 2.95
Sb (0.5000, 0.2458, 0.2355)  1 Sc 2.95, 2 Zr 2.96, 3 Y 3.07-3.08
Sb (0.5000, 0.7542, 0.7645)  1 Sc 2.95, 2 Zr 2.96, 3 Y 3.07-3.08
Sb (0.0000, 0.2555, 0.7653)  1 Zr 2.95, 2 Sc 2.95, 3 Y 3.07-3.08
Sb (0.0000, 0.7445, 0.2347)  1 Zr 2.95, 2 Sc 2.95, 3 Y 3.07-3.08


A relaxed structure of TeP2Os, computed with PBE.

Computed properties:
The raw formation energy comes out at 0.45 eV per atom. The calculation puts the energy above the most stable polymorph in this dataset at 415 meV/atom. The value obtained for the final energy is -5.85 eV/atom.

Unit cell a=3.0855 b=3.0852 c=7.9427 alpha=90.00 beta=90.00 gamma=90.00
With the nearest neighbours (Å) after each atom.
Fractional coordinates of all 4 atoms:
Os (0.5000, 0.5000, 0.8307)  5 P 2.44-2.49
P (0.0000, 0.0000, 0.9809)  4 Os 2.49, 4 P 2.51
P (0.5000, 0.5000, 0.1376)  1 Os 2.44, 4 P 2.51
Te (0.0000, 0.0000, 0.5508)  4 Te 3.09, 4 Os 3.11, 1 P 3.42


A relaxed structure of Rb2NF7, computed with PBE.

Computed properties:
The raw formation energy comes out at -1.26 eV per atom. The calculation puts the energy above the most stable polymorph in this dataset at 0 meV/atom. The value obtained for the final energy is -3.59 eV/atom.

Unit cell a=8.3964 b=9.4709 c=8.0656 alpha=52.32 beta=56.79 gamma=63.68
With the nearest neighbours (Å) after each atom.
Fractional coordinates of all 20 atoms:
Rb (0.6931, 0.8952, 0.8069)  5 F 2.73-2.82
Rb (0.6382, 0.4243, 0.2661)  6 F 2.73-2.94
Rb (0.3618, 0.5757, 0.7339)  6 F 2.73-2.94
Rb (0.3069, 0.1049, 0.1931)  5 F 2.73-2.82
N (0.0199, 0.2230, 0.6872)  3 F 1.39-1.45
N (0.9801, 0.7770, 0.3128)  3 F 1.39-1.45
F (0.5462, 0.6479, 0.8607)  1 F 1.97
F (0.9760, 0.9457, 0.2824)  1 N 1.45
F (0.1596, 0.7575, 0.1480)  1 N 1.39
F (0.4941, 0.1094, 0.3910)  1 F 1.72
F (0.5354, 0.2398, 0.7345)  4 Rb 2.73-2.85
F (0.9855, 0.3480, 0.4857)  1 N 1.41
F (0.0386, 0.3800, 0.0087)  1 F 2.00
F (0.9613, 0.6200, 0.9913)  1 F 2.00
F (0.0145, 0.6520, 0.5143)  1 N 1.41
F (0.4646, 0.7602, 0.2655)  4 Rb 2.73-2.85
F (0.5059, 0.8906, 0.6091)  1 F 1.72
F (0.8405, 0.2425, 0.8520)  1 N 1.39
F (0.0240, 0.0544, 0.7176)  1 N 1.45
F (0.4538, 0.3522, 0.1393)  1 F 1.97


A relaxed structure of SrNClO2, computed with PBE.

Computed properties:
The raw formation energy comes out at 0.66 eV per atom. The value obtained for the final energy is -3.70 eV/atom.

Unit cell a=4.8935 b=4.8935 c=5.4437 alpha=90.00 beta=90.00 gamma=90.00
With the nearest neighbours (Å) after each atom.
Fractional coordinates of all 5 atoms:
Sr (0.0000, 0.0000, 0.0000)  4 O 2.45, 2 N 2.72
N (0.0000, 0.0000, 0.5000)  2 Sr 2.72
O (0.0000, 0.5000, 0.0000)  2 Sr 2.45
O (0.5000, 0.0000, 0.0000)  2 Sr 2.45
Cl (0.5000, 0.5000, 0.5000)  4 N 3.46, 8 O 3.66


A relaxed structure of Rb3ZrMo, computed with PBE.

Computed properties:
The formation energy comes out at 945 kJ/mol of formula units. The calculation puts the energy above the most stable polymorph in this dataset at 0 meV/atom. The value obtained for the final energy is -2.50 eV/atom.

Unit cell a=6.8586 b=6.8586 c=6.8586 alpha=90.00 beta=90.00 gamma=90.00
With the nearest neighbours (Å) after each atom.
Fractional coordinates of all 5 atoms:
Mo (0.0000, 0.0000, 0.0000)  6 Rb 3.43
Rb (0.0000, 0.5000, 0.0000)  2 Mo 3.43
Rb (0.0000, 0.0000, 0.5000)  2 Mo 3.43
Rb (0.5000, 0.0000, 0.0000)  2 Mo 3.43
Zr (0.5000, 0.5000, 0.5000)  12 Rb 4.85


A relaxed structure of KTlS14, computed with PBE.

Computed properties:
The raw formation energy comes out at -0.06 eV per atom. The value obtained for the final energy is -3.89 eV/atom.

Unit cell a=16.1423 b=12.6876 c=12.6876 alpha=59.86 beta=38.89 gamma=38.89
With the nearest neighbours (Å) after each atom.
Fractional coordinates of all 32 atoms:
K (0.5000, 0.0000, 0.5000)  8 S 3.32-3.68
K (0.0000, 0.0000, 0.5000)  8 S 3.32-3.68
Tl (0.2500, 0.3339, 0.1661)  4 S 3.13-3.38
Tl (0.7500, 0.6661, 0.8339)  4 S 3.13-3.38
S (0.6116, 0.4071, 0.3026)  2 S 2.05-2.09
S (0.3884, 0.5929, 0.6974)  2 S 2.05-2.09
S (0.1116, 0.8026, 0.9071)  2 S 2.05-2.09
S (0.8884, 0.1974, 0.0929)  2 S 2.05-2.09
S (0.1427, 0.2769, 0.5137)  1 S 1.98
S (0.8573, 0.7231, 0.4863)  1 S 1.98
S (0.6427, 0.0137, 0.7769)  1 S 1.98
S (0.3573, 0.9863, 0.2231)  1 S 1.98
S (0.1601, 0.0863, 0.6093)  2 S 1.98-2.12
S (0.8399, 0.9137, 0.3907)  2 S 1.98-2.12
S (0.6601, 0.1093, 0.5863)  2 S 1.98-2.12
S (0.3399, 0.8907, 0.4137)  2 S 1.98-2.12
S (0.7605, 0.6160, 0.3183)  1 S 2.00
S (0.5367, 0.4403, 0.7612)  2 S 2.08-2.09
S (0.2605, 0.8183, 0.1160)  1 S 2.00
S (0.0367, 0.2612, 0.9403)  2 S 2.08-2.09
S (0.2395, 0.3840, 0.6817)  1 S 2.00
S (0.4633, 0.5597, 0.2388)  2 S 2.08-2.09
S (0.7395, 0.1817, 0.8840)  1 S 2.00
S (0.9633, 0.7388, 0.0597)  2 S 2.08-2.09
S (0.3499, 0.9307, 0.9532)  2 S 2.00-2.09
S (0.1215, 0.2019, 0.0430)  2 S 2.08-2.09
S (0.8499, 0.4532, 0.4307)  2 S 2.00-2.09
S (0.6215, 0.5430, 0.7019)  2 S 2.08-2.09
S (0.6501, 0.0693, 0.0468)  2 S 2.00-2.09
S (0.8785, 0.7981, 0.9570)  2 S 2.08-2.09
S (0.1501, 0.5468, 0.5693)  2 S 2.00-2.09
S (0.3785, 0.4570, 0.2981)  2 S 2.08-2.09


A relaxed structure of Rb2ZnInN, computed with PBE.

Computed properties:
The raw formation energy comes out at 0.24 eV per atom. The value obtained for the final energy is -2.62 eV/atom.

Unit cell a=6.7741 b=3.5995 c=6.7741 alpha=90.00 beta=90.00 gamma=90.00
With the nearest neighbours (Å) after each atom.
Fractional coordinates of all 5 atoms:
Zn (0.0000, 0.5000, 0.0000)  2 N 1.80
N (0.0000, 0.0000, 0.0000)  2 Zn 1.80
Rb (0.0000, 0.0000, 0.5000)  2 N 3.39, 2 Rb 3.60
Rb (0.5000, 0.0000, 0.0000)  2 N 3.39, 2 Rb 3.60
In (0.5000, 0.5000, 0.5000)  2 In 3.60, 8 Rb 3.84


A relaxed structure of SrZrGaTe2, computed with PBE.

Computed properties:
The raw formation energy comes out at 0.39 eV per atom. The value obtained for the final energy is -3.52 eV/atom.

Unit cell a=5.5540 b=5.3389 c=5.5540 alpha=90.00 beta=90.00 gamma=90.00
With the nearest neighbours (Å) after each atom.
Fractional coordinates of all 5 atoms:
Sr (0.0000, 0.5000, 0.0000)  2 Ga 2.67
Te (0.0000, 0.0000, 0.5000)  2 Ga 2.78
Te (0.5000, 0.0000, 0.0000)  2 Ga 2.78
Ga (0.0000, 0.0000, 0.0000)  2 Sr 2.67, 4 Te 2.78
Zr (0.5000, 0.5000, 0.5000)  8 Te 3.85, 4 Sr 3.93


| no. | M_tot (μB/cell) |
| --- | --- |
| 1 | 7.79 |
| 2 | 5.02 |
| 3 | 0.00 |
| 4 | 3.75 |
| 5 | 0.00 |
| 6 | 0.00 |
| 7 | 2.10 |
| 8 | 6.00 |
| 9 | 1.42 |
| 10 | 0.02 |
| 11 | 0.70 |
| 12 | 2.32 |